No. 1
Compound: Mg6Hg3Pd
Source: Alexandria via LeMat-Bulk
Functional: PBE-GGA
Structure: relaxed

Structure (CIF):
```
data_Mg6Hg3Pd
_cell_length_a 8.414
_cell_length_b 4.834
_cell_length_c 10.454
_cell_angle_alpha 90.00
_cell_angle_beta 107.32
_cell_angle_gamma 90.00
_space_group_name_H-M_alt 'P 1 21/m 1'
_space_group_IT_number 11
loop_
_space_group_symop_operation_xyz
'x,y,z'
'-x,-y,-z'
'-x,y+1/2,-z'
'x,-y+1/2,z'
loop_
_atom_site_label
_atom_site_type_symbol
_atom_site_fract_x
_atom_site_fract_y
_atom_site_fract_z
Mg1 Mg 0.043 0.250 0.416
Mg2 Mg 0.169 0.750 0.173
Mg3 Mg 0.276 0.250 0.003
Mg4 Mg 0.355 0.750 0.826
Mg5 Mg 0.362 0.250 0.312
Mg6 Mg 0.413 0.250 0.626
Hg1 Hg 0.023 0.750 0.881
Hg2 Hg 0.125 0.250 0.712
Hg3 Hg 0.286 0.750 0.477
Pd1 Pd 0.454 0.750 0.106
```

Results
Calculated formation energy in eV per atom: -0.30
Fermi-level density of states in states/eV/atom: 0.366

---

No. 2
Compound: Mg2HgPd6
Source: Alexandria via LeMat-Bulk
Functional: PBE-GGA
Structure: relaxed

Structure (CIF):
```
data_Mg2HgPd6
_cell_length_a 8.433
_cell_length_b 8.433
_cell_length_c 4.116
_cell_angle_alpha 90.00
_cell_angle_beta 90.00
_cell_angle_gamma 90.00
_space_group_name_H-M_alt 'P 42/m n m'
_space_group_IT_number 136
_space_group_name_Hall '-P 4n 2n'
loop_
_atom_site_label
_atom_site_type_symbol
_atom_site_fract_x
_atom_site_fract_y
_atom_site_fract_z
Mg1 Mg 0.183 0.183 0.000
Hg1 Hg 0.000 0.000 0.500
Pd1 Pd 0.008 0.336 0.500
Pd2 Pd 0.158 0.842 0.000
```

Results
Calculated formation energy in eV per atom: -0.44
Fermi-level density of states in states/eV/atom: 0.531

---

No. 3
Compound: MgHg2Pd3
Source: Alexandria via LeMat-Bulk
Functional: PBE-GGA
Structure: relaxed

Structure (CIF):
```
data_MgHg2Pd3
_cell_length_a 3.263
_cell_length_b 3.263
_cell_length_c 9.826
_cell_angle_alpha 90.00
_cell_angle_beta 90.00
_cell_angle_gamma 90.00
_space_group_name_H-M_alt 'P 4/m m m'
_space_group_IT_number 123
_space_group_name_Hall '-P 4 2'
loop_
_atom_site_label
_atom_site_type_symbol
_atom_site_fract_x
_atom_site_fract_y
_atom_site_fract_z
Mg1 Mg 0.000 0.000 0.000
Hg1 Hg 0.000 0.000 0.327
Pd1 Pd 0.500 0.500 0.152
Pd2 Pd 0.500 0.500 0.500
```

Results
Calculated formation energy in eV per atom: -0.36
Fermi-level density of states in states/eV/atom: 0.246

---

No. 4
Compound: Mg7HgPd4
Source: Alexandria via LeMat-Bulk
Functional: PBE-GGA
Structure: relaxed

Structure (CIF):
```
data_Mg7HgPd4
_cell_length_a 13.056
_cell_length_b 4.972
_cell_length_c 9.001
_cell_angle_alpha 90.00
_cell_angle_beta 126.38
_cell_angle_gamma 90.00
_space_group_name_H-M_alt 'C 1 2/m 1'
_space_group_IT_number 12
loop_
_space_group_symop_operation_xyz
'x,y,z'
'-x,-y,-z'
'-x,y,-z'
'x,-y,z'
'x+1/2,y+1/2,z'
'-x+1/2,-y+1/2,-z'
'-x+1/2,y+1/2,-z'
'x+1/2,-y+1/2,z'
loop_
_atom_site_label
_atom_site_type_symbol
_atom_site_fract_x
_atom_site_fract_y
_atom_site_fract_z
Mg1 Mg 0.000 0.000 0.000
Mg2 Mg 0.064 0.500 0.374
Mg3 Mg 0.204 0.000 0.652
Mg4 Mg 0.218 0.500 0.878
Hg1 Hg 0.000 0.500 0.000
Pd1 Pd 0.062 0.000 0.764
Pd2 Pd 0.195 0.000 0.352
```

Results
Calculated formation energy in eV per atom: -0.37
Fermi-level density of states in states/eV/atom: 0.341

---

No. 5
Compound: Mg6HgPd12
Source: Alexandria via LeMat-Bulk
Functional: PBE-GGA
Structure: relaxed

Structure (CIF):
```
data_Mg6HgPd12
_cell_length_a 11.8060
_cell_length_b 11.8060
_cell_length_c 8.1663
_cell_angle_alpha 90.00
_cell_angle_beta 90.00
_cell_angle_gamma 120.00
_space_group_name_H-M_alt 'R -3'
_space_group_IT_number 148
_space_group_name_Hall '-R 3'
loop_
_atom_site_label
_atom_site_type_symbol
_atom_site_fract_x
_atom_site_fract_y
_atom_site_fract_z
Mg1 Mg 0.0471 0.8315 0.2477
Hg1 Hg 0.0000 0.0000 0.5000
Pd1 Pd 0.0497 0.8036 0.5792
Pd2 Pd 0.0630 0.8275 0.9217
```

Results
Calculated formation energy in eV per atom: -0.44
Fermi-level density of states in states/eV/atom: 0.530

---

No. 6
Compound: Mg2HgPd3
Source: Alexandria via LeMat-Bulk
Functional: PBE-GGA
Structure: relaxed

Structure (CIF):
```
data_Mg2HgPd3
_cell_length_a 4.249
_cell_length_b 12.947
_cell_length_c 3.651
_cell_angle_alpha 90.00
_cell_angle_beta 90.00
_cell_angle_gamma 90.00
_space_group_name_H-M_alt 'C m m m'
_space_group_IT_number 65
_space_group_name_Hall '-C 2 2'
loop_
_atom_site_label
_atom_site_type_symbol
_atom_site_fract_x
_atom_site_fract_y
_atom_site_fract_z
Mg1 Mg 0.000 0.165 0.000
Hg1 Hg 0.000 0.500 0.000
Pd1 Pd 0.000 0.000 0.500
Pd2 Pd 0.000 0.328 0.500
```

Results
Calculated formation energy in eV per atom: -0.58
Fermi-level density of states in states/eV/atom: 0.237

---

No. 7
Compound: Mg3HgPd6
Source: Alexandria via LeMat-Bulk
Functional: PBE-GGA
Structure: relaxed

Structure (CIF):
```
data_Mg3HgPd6
_cell_length_a 8.374
_cell_length_b 4.254
_cell_length_c 9.212
_cell_angle_alpha 90.00
_cell_angle_beta 97.62
_cell_angle_gamma 90.00
_space_group_name_H-M_alt 'P 1 21/m 1'
_space_group_IT_number 11
loop_
_space_group_symop_operation_xyz
'x,y,z'
'-x,-y,-z'
'-x,y+1/2,-z'
'x,-y+1/2,z'
loop_
_atom_site_label
_atom_site_type_symbol
_atom_site_fract_x
_atom_site_fract_y
_atom_site_fract_z
Mg1 Mg 0.051 0.250 0.397
Mg2 Mg 0.152 0.750 0.190
Mg3 Mg 0.255 0.250 0.977
Hg1 Hg 0.443 0.250 0.607
Pd1 Pd 0.037 0.750 0.898
Pd2 Pd 0.129 0.250 0.692
Pd3 Pd 0.235 0.750 0.490
Pd4 Pd 0.338 0.250 0.283
Pd5 Pd 0.342 0.750 0.798
Pd6 Pd 0.442 0.750 0.094
```

Results
Calculated formation energy in eV per atom: -0.53
Fermi-level density of states in states/eV/atom: 0.287

---

No. 8
Compound: MgHgPd
Source: Alexandria via LeMat-Bulk
Functional: PBE-GGA
Structure: relaxed

Structure (CIF):
```
data_MgHgPd
_cell_length_a 3.385
_cell_length_b 3.385
_cell_length_c 9.535
_cell_angle_alpha 90.00
_cell_angle_beta 90.00
_cell_angle_gamma 90.00
_space_group_name_H-M_alt 'I 4 m m'
_space_group_IT_number 107
_space_group_name_Hall 'I 4 -2'
loop_
_atom_site_label
_atom_site_type_symbol
_atom_site_fract_x
_atom_site_fract_y
_atom_site_fract_z
Mg1 Mg 0.000 0.000 0.000
Hg1 Hg 0.000 0.000 0.683
Pd1 Pd 0.000 0.000 0.363
```

Results
Calculated formation energy in eV per atom: -0.40
Fermi-level density of states in states/eV/atom: 0.445